This record from Alexandria via LeMat-Bulk describes a relaxed TiIrS2 crystal. The functional is GGA-PBE.

Cell and atoms, written as CIF:
```
data_TiIrS2
_cell_length_a 7.896
_cell_length_b 7.896
_cell_length_c 7.896
_cell_angle_alpha 22.73
_cell_angle_beta 22.73
_cell_angle_gamma 22.73
_symmetry_space_group_name_H-M 'P 1'
_symmetry_Int_Tables_number 1
_symmetry_space_group_name_Hall 'P 1'
loop_
_atom_site_label
_atom_site_type_symbol
_atom_site_fract_x
_atom_site_fract_y
_atom_site_fract_z
_atom_site_occupancy
Ti1 Ti 0.000 0.000 0.000 1
Ir1 Ir 0.500 0.500 0.500 1
S1 S 0.402 0.402 0.402 1
S2 S 0.598 0.598 0.598 1
```

Values from the calculation:
ΔE_f (raw): -614 meV per atom
Excess energy over the best structure of this formula in the dataset: 0.000 eV per atom
Symmetry: R-3m, No. 166